No. 1
Here is Rb2YInSe4 after structural relaxation from the Alexandria database. Energies are from PBE.

**Uncorrected formation energy**: -9.61 eV per formula unit
**Total DFT energy (no corrections)**: -4.34 eV/atom

```
Rb2YInSe4
1.0
-0.947 7.210 5.039
2.546 -4.717 7.037
5.120 0.301 -7.154
Se Rb In Y
8 4 2 2
Cartesian
2.813 0.576 -0.243
3.906 2.217 5.165
6.630 -1.723 -0.745
0.656 0.448 2.766
6.064 2.345 2.156
2.765 4.274 2.155
0.090 4.516 5.667
3.955 -1.480 2.766
-0.474 3.605 2.519
2.087 3.755 -1.058
2.560 0.150 -3.577
0.800 1.246 6.038
3.360 1.397 2.461
4.173 7.511 -2.116
1.273 -2.359 3.519
2.886 5.001 4.980
```

=====

No. 2
Here is Cs2PbIF6 after structural relaxation from the Alexandria database. Energies are from PBE.

**Uncorrected formation energy**: -20.39 eV per formula unit
**Total DFT energy (no corrections)**: -3.86 eV/atom

```
Cs2PbIF6
1.0
-6.164 -0.048 2.464
2.218 -3.006 5.488
-1.045 3.580 6.398
F Pb I Cs
6 1 1 2
Cartesian
-1.426 1.480 5.402
-3.564 -0.953 8.948
-2.943 -2.277 5.930
0.087 -2.254 4.719
-4.033 -0.800 3.233
-1.003 -0.776 2.022
0.000 0.000 0.000
-1.973 -1.527 3.976
-4.591 1.003 6.419
-0.400 -0.476 7.931
```

=====

No. 3
Here is Zr2NbHRh after structural relaxation from the Alexandria database. Energies are from PBE.

**Energy relative to the lowest polymorph listed for this composition**: 0.0 kJ per mole of atoms
**Total DFT energy (no corrections)**: -7.92 eV/atom

```
Zr2NbHRh
1.0
4.665 0.000 0.000
0.000 4.665 0.000
0.000 0.000 3.633
Rh Zr Nb H
1 2 1 1
Cartesian
2.332 2.332 1.816
0.000 2.332 0.000
2.332 0.000 0.000
0.000 0.000 1.816
0.000 0.000 0.000
```

=====

No. 4
Here is HfSbPO2 after structural relaxation from the Alexandria database. Energies are from PBE.

**Uncorrected formation energy**: -2.29 eV per formula unit
**Energy relative to the lowest polymorph listed for this composition**: 98.7 kJ per mole of atoms
**Total DFT energy (no corrections)**: -6.34 eV/atom

```
HfSbPO2
1.0
-2.656 -2.914 0.637
2.101 -2.433 -2.371
2.795 -1.639 4.159
O Hf P Sb
2 1 1 1
Cartesian
1.051 -1.216 -1.185
-1.328 -1.457 0.318
1.120 -3.493 1.212
1.398 -0.820 2.080
0.000 0.000 0.000
```

=====

No. 5
Here is TaTc2Br after structural relaxation from the Alexandria database. Energies are from PBE.

**Uncorrected formation energy**: 1.13 eV per formula unit
**Energy relative to the lowest polymorph listed for this composition**: 0.0 kJ per mole of atoms
**Total DFT energy (no corrections)**: -8.28 eV/atom

```
TaTc2Br
1.0
3.002 0.000 0.000
0.000 3.002 0.000
0.000 0.000 7.275
Tc Br Ta
2 1 1
Cartesian
0.000 0.000 0.113
1.501 1.501 1.659
0.000 0.000 3.655
1.501 1.501 5.484
```

=====

No. 6
Here is DyHoLuHg after structural relaxation from the Alexandria database. Energies are from PBE.

**Energy of formation from the pure elements**: -23 kJ/mol of formula units
**Total DFT energy (no corrections)**: -3.56 eV/atom

```
DyHoLuHg
1.0
-3.184 4.069 -1.433
-3.025 2.461 3.680
1.183 4.999 1.536
Ho Hg Dy Lu
1 1 1 1
Cartesian
-3.769 8.647 2.837
-2.513 5.764 1.891
-1.256 2.882 0.946
0.000 0.000 0.000
```